Compound: TmPaS4
Source: the Alexandria database
Functional: PBE-GGA
Structure: optimized geometry

Lattice parameters (Å, degrees): 6.2193 6.2193 4.1236 90.00 90.00 91.07
With the nearest neighbours (Å) after each atom.
Element x y z (fractional)
Tm (0.0000, 0.0000, 0.0000)  6 S 2.70-2.75
Pa (0.5000, 0.5000, 0.5000)  6 S 2.62-2.67
S (0.1992, 0.1992, 0.5000)  1 Pa 2.62, 2 Tm 2.70
S (0.3097, 0.6903, 0.0000)  2 Pa 2.67, 1 Tm 2.75
S (0.6903, 0.3097, 0.0000)  2 Pa 2.67, 1 Tm 2.75
S (0.8008, 0.8008, 0.5000)  1 Pa 2.62, 2 Tm 2.70

Summary:
Energy relative to the elements, uncorrected in meV per atom: -1694
SG: Cmmm, No. 65


Compound: YThCl
Source: the Alexandria database
Functional: PBE-GGA
Structure: optimized geometry

Lattice parameters (Å, degrees): 5.9311 5.9311 10.1861 121.24 121.24 35.03
With the nearest neighbours (Å) after each atom.
Element x y z (fractional)
Y (0.0121, 0.0121, 0.3274)  3 Cl 2.89-2.98
Y (0.9879, 0.9879, 0.6726)  3 Cl 2.89-2.98
Th (0.1733, 0.1733, 0.0845)  2 Cl 3.05, 1 Th 3.32
Th (0.8267, 0.8267, 0.9155)  2 Cl 3.05, 1 Th 3.32
Cl (0.2748, 0.2748, 0.6467)  3 Y 2.89-2.98, 2 Th 3.05
Cl (0.7252, 0.7252, 0.3533)  3 Y 2.89-2.98, 2 Th 3.05

Summary:
Energy relative to the elements, uncorrected in meV per atom: -621
SG: C2/m, No. 12